(1)
First-principles (PBE-GGA) data for TiNiN after structural relaxation, as listed in Alexandria via LeMat-Bulk.

```
data_TiNiN
_symmetry_space_group_name_H-M 'I 4/m m m'
_symmetry_Int_Tables_number 139
_symmetry_space_group_name_Hall '-I 4 2'
_cell_length_a 2.9053
_cell_length_b 2.9053
_cell_length_c 16.1496
_cell_angle_alpha 90.00
_cell_angle_beta 90.00
_cell_angle_gamma 90.00
loop_
_atom_site_label
_atom_site_fract_x
_atom_site_fract_y
_atom_site_fract_z
Ti1 0.0000 0.0000 0.1792
Ni1 0.0000 0.0000 0.4309
N1 0.0000 0.0000 0.3107
```

Calculated values
Formation energy from raw total energies ... -2.59 eV/f.u.

***

(2)
First-principles (PBE-GGA) data for HfAg2Ru after structural relaxation, as listed in Alexandria via LeMat-Bulk.

```
data_HfAg2Ru
_symmetry_space_group_name_H-M 'I -4 2 d'
_symmetry_Int_Tables_number 122
_symmetry_space_group_name_Hall 'I -4 2bw'
_cell_length_a 3.7792
_cell_length_b 3.7792
_cell_length_c 20.7600
_cell_angle_alpha 90.00
_cell_angle_beta 90.00
_cell_angle_gamma 90.00
loop_
_atom_site_label
_atom_site_fract_x
_atom_site_fract_y
_atom_site_fract_z
Hf1 0.0000 0.0000 0.0000
Ag1 0.2434 0.2500 0.6250
Ru1 0.0000 0.0000 0.5000
```

Calculated values
Formation energy ... 0.200 eV/atom
Distance to the lowest polymorph of the same formula ... 0.0 meV per atom

***

(3)
First-principles (PBE-GGA) data for Er2Al3Ga after structural relaxation, as listed in Alexandria via LeMat-Bulk.

```
data_Er2Al3Ga
_symmetry_space_group_name_H-M 'P m m 2'
_symmetry_Int_Tables_number 25
_symmetry_space_group_name_Hall 'P 2 -2'
_cell_length_a 3.4338
_cell_length_b 4.5322
_cell_length_c 7.7983
_cell_angle_alpha 90.00
_cell_angle_beta 90.00
_cell_angle_gamma 90.00
loop_
_atom_site_label
_atom_site_fract_x
_atom_site_fract_y
_atom_site_fract_z
Er1 0.0000 0.0000 0.0000
Er2 0.0000 0.5000 0.4969
Al1 0.5000 0.0000 0.6644
Al2 0.5000 0.5000 0.1661
Al3 0.5000 0.5000 0.8303
Ga1 0.5000 0.0000 0.3323
```

Calculated values
Formation energy ... -0.519 eV/atom
Distance to the lowest polymorph of the same formula ... 13.2 meV per atom

***

(4)
First-principles (PBE-GGA) data for Tb9Pm11Sm4 after structural relaxation, as listed in Alexandria via LeMat-Bulk.

```
data_Tb9Pm11Sm4
_symmetry_space_group_name_H-M 'C m m m'
_symmetry_Int_Tables_number 65
_symmetry_space_group_name_Hall '-C 2 2'
_cell_length_a 16.9959
_cell_length_b 25.6366
_cell_length_c 3.7081
_cell_angle_alpha 90.00
_cell_angle_beta 90.00
_cell_angle_gamma 90.00
loop_
_atom_site_label
_atom_site_fract_x
_atom_site_fract_y
_atom_site_fract_z
Tb1 0.0000 0.0000 0.0000
Tb2 0.1015 0.2349 0.0000
Tb3 0.1392 0.4270 0.0000
Pm1 0.0000 0.1332 0.5000
Pm2 0.0000 0.3405 0.5000
Pm3 0.0000 0.5000 0.5000
Pm4 0.2093 0.0000 0.5000
Pm5 0.2254 0.3190 0.5000
Sm1 0.1556 0.1010 0.0000
```

Calculated values
Formation energy ... 0.058 eV/atom

***

(5)
First-principles (PBE-GGA) data for NdDyLu4 after structural relaxation, as listed in Alexandria via LeMat-Bulk.

```
data_NdDyLu4
_symmetry_space_group_name_H-M 'F -4 3 m'
_symmetry_Int_Tables_number 216
_symmetry_space_group_name_Hall 'F -4 2 3'
_cell_length_a 9.3002
_cell_length_b 9.3002
_cell_length_c 9.3002
_cell_angle_alpha 90.00
_cell_angle_beta 90.00
_cell_angle_gamma 90.00
loop_
_atom_site_label
_atom_site_fract_x
_atom_site_fract_y
_atom_site_fract_z
Nd1 0.0000 0.0000 0.0000
Dy1 0.2500 0.2500 0.7500
Lu1 0.1250 0.1250 0.3750
```

Calculated values
Formation energy ... 0.282 eV/atom

***

(6)
First-principles (PBE-GGA) data for CsLi2TlZn after structural relaxation, as listed in Alexandria via LeMat-Bulk.

```
data_CsLi2TlZn
_symmetry_space_group_name_H-M 'P 4/m m m'
_symmetry_Int_Tables_number 123
_symmetry_space_group_name_Hall '-P 4 2'
_cell_length_a 5.5579
_cell_length_b 5.5579
_cell_length_c 5.5061
_cell_angle_alpha 90.00
_cell_angle_beta 90.00
_cell_angle_gamma 90.00
loop_
_atom_site_label
_atom_site_fract_x
_atom_site_fract_y
_atom_site_fract_z
Cs1 0.0000 0.0000 0.0000
Li1 0.0000 0.5000 0.5000
Tl1 0.5000 0.5000 0.5000
Zn1 0.5000 0.5000 0.0000
```

Calculated values
Formation energy ... 0.045 eV/atom

***

(7)
First-principles (PBE-GGA) data for MgSi2Tc after structural relaxation, as listed in Alexandria via LeMat-Bulk.

```
data_MgSi2Tc
_symmetry_space_group_name_H-M 'P 4/m m m'
_symmetry_Int_Tables_number 123
_symmetry_space_group_name_Hall '-P 4 2'
_cell_length_a 3.0960
_cell_length_b 3.0960
_cell_length_c 6.4757
_cell_angle_alpha 90.00
_cell_angle_beta 90.00
_cell_angle_gamma 90.00
loop_
_atom_site_label
_atom_site_fract_x
_atom_site_fract_y
_atom_site_fract_z
Mg1 0.0000 0.0000 0.0000
Si1 0.5000 0.5000 0.2973
Tc1 0.0000 0.0000 0.5000
```

Calculated values
Formation energy from raw total energies ... -0.83 eV/f.u.

***

(8)
First-principles (PBE-GGA) data for CaTmAg2 after structural relaxation, as listed in Alexandria via LeMat-Bulk.

```
data_CaTmAg2
_symmetry_space_group_name_H-M 'P 4/m m m'
_symmetry_Int_Tables_number 123
_symmetry_space_group_name_Hall '-P 4 2'
_cell_length_a 3.6341
_cell_length_b 3.6341
_cell_length_c 7.3730
_cell_angle_alpha 90.00
_cell_angle_beta 90.00
_cell_angle_gamma 90.00
loop_
_atom_site_label
_atom_site_fract_x
_atom_site_fract_y
_atom_site_fract_z
Ca1 0.0000 0.0000 0.0000
Tm1 0.0000 0.0000 0.5000
Ag1 0.5000 0.5000 0.2753
```

Calculated values
Formation energy ... -0.331 eV/atom

***

(9)
First-principles (PBE-GGA) data for Li2SnPbS4 after structural relaxation, as listed in Alexandria via LeMat-Bulk.

```
data_Li2SnPbS4
_symmetry_space_group_name_H-M 'I m m a'
_symmetry_Int_Tables_number 74
_symmetry_space_group_name_Hall '-I 2b 2'
_cell_length_a 7.7097
_cell_length_b 7.8008
_cell_length_c 11.0924
_cell_angle_alpha 90.00
_cell_angle_beta 90.00
_cell_angle_gamma 90.00
loop_
_atom_site_label
_atom_site_fract_x
_atom_site_fract_y
_atom_site_fract_z
Li1 0.0000 0.0000 0.0000
Li2 0.2500 0.2500 0.2500
Sn1 0.2500 0.2500 0.7500
Pb1 0.0000 0.0000 0.5000
S1 0.0000 0.0074 0.7605
S2 0.2249 0.2500 0.9829
```

Calculated values
Formation energy from raw total energies ... -5.64 eV/f.u.

***

(10)
First-principles (PBE-GGA) data for ReOs after structural relaxation, as listed in Alexandria via LeMat-Bulk.

```
data_ReOs
_symmetry_space_group_name_H-M 'C 1 m 1'
_symmetry_Int_Tables_number 8
_symmetry_space_group_name_Hall 'C -2y'
_cell_length_a 10.0269
_cell_length_b 2.7639
_cell_length_c 6.5060
_cell_angle_alpha 90.00
_cell_angle_beta 103.72
_cell_angle_gamma 90.00
loop_
_atom_site_label
_atom_site_fract_x
_atom_site_fract_y
_atom_site_fract_z
Re1 0.0000 0.0000 0.0000
Re2 0.0568 0.0000 0.6147
Re3 0.3859 0.0000 0.2820
Os1 0.1668 0.5000 0.3348
Os2 0.2225 0.5000 0.9459
Os3 0.3318 0.0000 0.6693
```

Calculated values
Formation energy ... -0.077 eV/atom
Distance to the lowest polymorph of the same formula ... 15.5 meV per atom

***

In the order shown, the computed VASP energy values come out to -8.20; -6.03; -4.42; -4.64; -4.29; -1.62; -5.91; -3.37; -4.21; -11.92 eV/atom.